# 1
The following is a DFT calculation (PBE) of a relaxed structure of LaTh.

Computed properties:
- Formation energy from the elements: 0.070 eV per atom
- Space group: No. 59

abc: 3.596 7.339 5.992
angles: 90.00 90.00 119.34
Sites, in units of the cell vectors:
Th: 0.333 0.083 0.250
Th: 0.667 0.917 0.750
La: 0.646 0.396 0.750
La: 0.354 0.604 0.250

***

# 2
The following is a DFT calculation (PBE) of a relaxed structure of Mn5Tl.

Computed properties:
- Formation energy from the elements: 0.398 eV per atom
- Space group: No. 38

abc: 7.428 7.428 4.279
angles: 90.00 90.00 158.33
Last column: magnetic moment on the atom in μB.
Sites, in units of the cell vectors:
Tl: 0.108 0.892 0.500  -0.06
Mn: 0.329 0.671 0.000  -1.87
Mn: 0.687 0.313 0.000  2.95
Mn: 0.435 0.565 0.500  -2.22
Mn: 0.975 0.025 0.000  3.04
Mn: 0.799 0.201 0.500  2.84

***

# 3
The following is a DFT calculation (PBE) of a relaxed structure of Li2CoSe.

Computed properties:
- Space group: No. 166
- VASP energy: -3.590 eV/atom

abc: 8.557 8.557 8.557
angles: 19.19 19.19 19.19
Last column: magnetic moment on the atom in μB.
Sites, in units of the cell vectors:
Co: 0.750 0.750 0.750  1.47
Se: 0.250 0.250 0.250  -0.02
Li: 0.501 0.501 0.501  -0.03
Li: 0.999 0.999 0.999  -0.03

***

# 4
The following is a DFT calculation (PBE) of a relaxed structure of Ce2PaBe.

Computed properties:
- Formation energy from the elements: 0.629 eV per atom
- Space group: No. 166

abc: 3.026 3.026 11.866
angles: 82.67 82.67 60.00
Sites, in units of the cell vectors:
Ce: 0.082 0.082 0.753
Be: 0.000 0.000 0.000
Pa: 0.500 0.500 0.500
Ce: 0.918 0.918 0.247

***

# 5
The following is a DFT calculation (PBE) of a relaxed structure of PmSm2PaSb4.

Computed properties:
- Space group: No. 10
- VASP energy: -6.020 eV/atom

abc: 4.443 7.707 7.701
angles: 109.33 90.00 90.00
Last column: magnetic moment on the atom in μB.
Sites, in units of the cell vectors:
Pm: 0.000 0.000 0.000  0.01
Sm: 0.500 0.000 0.500  0.02
Pa: 0.500 0.500 0.000  0.73
Sb: 0.500 0.746 0.752  -0.01
Sb: 0.500 0.254 0.248  -0.01
Sm: 0.000 0.500 0.500  0.01
Sb: 0.000 0.745 0.246  -0.01
Sb: 0.000 0.255 0.754  -0.01

***

# 6
The following is a DFT calculation (PBE) of a relaxed structure of ZnFeRu2Se.

Computed properties:
- Space group: No. 123
- VASP energy: -5.258 eV/atom

abc: 4.491 4.364 4.491
angles: 90.00 90.00 90.00
Sites, in units of the cell vectors:
Ru: 0.000 0.000 0.500
Ru: 0.500 0.000 0.000
Zn: 0.500 0.500 0.500
Se: 0.000 0.500 0.000
Fe: 0.000 0.000 0.000